Density functional theory data (PBEsol) for a relaxed Ba2CdAg crystal.

V ... 144.6 Å³ per cell
Space-group type ... Amm2
E_form ... -0.239 eV/atom
Mass density ... 5.7 g cm⁻³

a = 4.671 Å, b = 5.021 Å, c = 6.593 Å
α = 90.00°, β = 110.71°, γ = 90.00°
Element x y z (fractional)
Ag1 0.437 0.500 0.749
Ba1 0.017 0.000 0.910
Ba2 0.734 0.500 0.343
Cd1 0.312 0.000 0.498



Density functional theory data (PBEsol) for a relaxed BaCd2Ag crystal.

V ... 111.2 Å³ per cell
Space-group type ... P4/mmm
E_form ... -0.031 eV/atom
Mass density ... 7.0 g cm⁻³

a = 4.619 Å, b = 4.619 Å, c = 5.214 Å
α = 90.00°, β = 90.00°, γ = 90.00°
Element x y z (fractional)
Cd1 0.000 0.500 0.000
Cd2 0.500 0.000 0.000
Ag1 0.500 0.500 0.500
Ba1 0.000 0.000 0.500



Density functional theory data (PBEsol) for a relaxed BaCd2Ag crystal.

V ... 104.7 Å³ per cell
Space-group type ... Fm-3m
E_form ... -0.080 eV/atom
Mass density ... 7.5 g cm⁻³

a = 5.290 Å, b = 5.290 Å, c = 5.290 Å
α = 60.00°, β = 60.00°, γ = 60.00°
Element x y z (fractional)
Cd1 0.750 0.750 0.750
Cd2 0.250 0.250 0.250
Ag1 0.000 0.000 0.000
Ba1 0.500 0.500 0.500



Density functional theory data (PBEsol) for a relaxed Ba2CdAg2 crystal.

V ... 308.9 Å³ per cell
Space-group type ... P4/mbm
E_form ... -0.212 eV/atom
Mass density ... 6.5 g cm⁻³

a = 4.605 Å, b = 8.190 Å, c = 8.190 Å
α = 90.00°, β = 90.00°, γ = 90.00°
Element x y z (fractional)
Cd1 0.000 0.000 0.000
Cd2 0.000 0.500 0.500
Ag1 0.000 0.880 0.620
Ag2 0.000 0.380 0.880
Ag3 0.000 0.120 0.380
Ag4 0.000 0.620 0.120
Ba1 0.500 0.680 0.820
Ba2 0.500 0.320 0.180
Ba3 0.500 0.180 0.680
Ba4 0.500 0.820 0.320



Density functional theory data (PBEsol) for a relaxed BaCd2Ag crystal.

V ... 104.0 Å³ per cell
Space-group type ... P4mm
E_form ... -0.105 eV/atom
Mass density ... 7.5 g cm⁻³

a = 3.693 Å, b = 3.693 Å, c = 7.628 Å
α = 90.00°, β = 90.00°, γ = 90.00°
Element x y z (fractional)
Ba1 0.500 0.500 0.739
Cd1 0.500 0.500 0.267
Cd2 0.000 0.000 0.055
Ag1 0.000 0.000 0.438



Density functional theory data (PBEsol) for a relaxed Ba2CdAg crystal.

V ... 135.9 Å³ per cell
Space-group type ... P4/mmm
E_form ... -0.222 eV/atom
Mass density ... 6.0 g cm⁻³

a = 4.068 Å, b = 5.779 Å, c = 5.779 Å
α = 90.00°, β = 90.00°, γ = 90.00°
Element x y z (fractional)
Cd1 0.500 0.000 0.000
Ba1 0.000 0.500 0.000
Ba2 0.000 0.000 0.500
Ag1 0.500 0.500 0.500



Density functional theory data (PBEsol) for a relaxed BaCdAg2 crystal.

V ... 109.1 Å³ per cell
Space-group type ... R3m
E_form ... -0.190 eV/atom
Mass density ... 7.1 g cm⁻³

a = 4.760 Å, b = 4.760 Å, c = 6.203 Å
α = 67.43°, β = 67.43°, γ = 60.00°
Element x y z (fractional)
Ag1 0.005 0.005 0.986
Ag2 0.696 0.696 0.912
Ba1 0.496 0.496 0.513
Cd1 0.296 0.296 0.113



Density functional theory data (PBEsol) for a relaxed Ba2CdAg crystal.

V ... 163.1 Å³ per cell
Space-group type ... R3m
E_form ... -0.214 eV/atom
Mass density ... 5.0 g cm⁻³

a = 4.858 Å, b = 4.858 Å, c = 8.458 Å
α = 73.31°, β = 73.31°, γ = 60.00°
Element x y z (fractional)
Ag1 0.208 0.208 0.375
Ba1 0.787 0.787 0.638
Ba2 0.963 0.963 0.112
Cd1 0.542 0.542 0.375



Number 1: Fermi-level density of states 0.79 states/eV/atom, uncorrected energy -9.76 eV for the cell shown. Number 2: Fermi-level density of states 0.47 states/eV/atom, uncorrected energy -7.98 eV for the cell shown. Number 3: Fermi-level density of states 0.95 states/eV/atom, uncorrected energy -8.18 eV for the cell shown. Number 4: Fermi-level density of states 0.63 states/eV/atom, uncorrected energy -26.35 eV for the cell shown. Number 5: Fermi-level density of states 0.57 states/eV/atom, uncorrected energy -8.28 eV for the cell shown. Number 6: Fermi-level density of states 0.95 states/eV/atom, uncorrected energy -9.69 eV for the cell shown. Number 7: Fermi-level density of states 0.46 states/eV/atom, uncorrected energy -10.73 eV for the cell shown. Number 8: Fermi-level density of states 1.00 states/eV/atom, uncorrected energy -9.66 eV for the cell shown.